# PBE Tm8Ni3Pd2, optimized geometry
# Energy ... -5.28 eV/atom
# Crystal system ... monoclinic
data_Tm8Ni3Pd2
_chemical_formula_sum 'Tm8 Ni3 Pd2'
_cell_length_a 6.477
_cell_length_b 7.062
_cell_length_c 7.986
_cell_angle_alpha 116.24
_cell_angle_beta 103.20
_cell_angle_gamma 90.00
_symmetry_space_group_name_H-M 'P 1'
_symmetry_Int_Tables_number 1
_symmetry_space_group_name_Hall 'P 1'
loop_
_atom_site_label
_atom_site_type_symbol
_atom_site_fract_x
_atom_site_fract_y
_atom_site_fract_z
Tm1 Tm 0.125 0.414 0.829
Pd1 Pd 0.312 0.264 0.528
Tm2 Tm 0.121 0.849 0.699
Pd2 Pd 0.688 0.736 0.472
Tm3 Tm 0.619 0.634 0.762
Ni1 Ni 0.500 0.000 0.000
Tm4 Tm 0.381 0.872 0.238
Tm5 Tm 0.879 0.151 0.301
Ni2 Ni 0.000 0.819 0.000
Ni3 Ni 0.000 0.181 0.000
Tm6 Tm 0.381 0.366 0.238
Tm7 Tm 0.619 0.128 0.762
Tm8 Tm 0.875 0.586 0.171